A plane-wave DFT calculation with GGA-PBEsol was carried out for KCaIN2 after structural relaxation.

Cell lengths 4.8122, 4.8122, 6.0551 Å; angles 90.00, 90.00, 90.00 degrees
Fractional positions:
I  0.0000  0.0000  0.5000
N  0.5000  0.0000  0.0000
K  0.0000  0.0000  0.0000
Ca  0.5000  0.5000  0.5000
N  0.0000  0.5000  0.0000

Formation energy (no corrections), eV per atom: 1.209
Total magnetization, Bohr magnetons per cell: 4.000